This record from Alexandria via LeMat-Bulk describes a geometry-optimized NdCr2SnO6 structure. The functional is PBE+U.

The value obtained for the density of states at the Fermi level is 2.05 states/eV/f.u. Its total energy is -7.4533 eV/atom. The calculation puts the calculated density at 6.49 g/cm3.

The structure belongs to space group Cm (No. 8); the cell edges are 7.7724, 7.8197 and 5.4851 Å and the angles 90.00°, 134.74° and 90.00°. The inequivalent atoms are Nd at (0.0000, 0.0000, 0.0000), Cr at (0.4866, 0.2484, 0.4892), Sn at (0.4551, 0.0000, 0.9463), O at (0.0846, 0.5000, 0.6030), O at (0.2421, 0.1881, 0.5011), O at (0.2447, 0.1873, 0.9898) and O at (0.3770, 0.5000, 0.3843).